# PBE CeAlZnPt, optimized geometry
data_CeAlZnPt
_symmetry_space_group_name_H-M 'P 1'
_symmetry_Int_Tables_number 1
_cell_length_a 4.432
_cell_length_b 4.432
_cell_length_c 5.587
_cell_angle_alpha 66.63
_cell_angle_beta 66.63
_cell_angle_gamma 60.00
loop_
_symmetry_equiv_pos_as_xyz
'x,y,z'
loop_
_atom_site_label
_atom_site_type_symbol
_atom_site_fract_x
_atom_site_fract_y
_atom_site_fract_z
Zn1 Zn 0.336 0.336 0.993
Pt1 Pt 0.993 0.993 0.021
Ce1 Ce 0.800 0.800 0.601
Al1 Al 0.597 0.597 0.208
# Total moment, μB/cell: 1.12
# Raw total energy, eV per atom: -4.868
# Energy relative to the lowest polymorph listed for this composition, eV/atom: 0.022
# Energy relative to the elements, kJ per mole of atoms: -59.85

---

# PBE Ce2Al4ZnPt3, optimized geometry
data_Ce2Al4ZnPt3
_symmetry_space_group_name_H-M 'P 1'
_symmetry_Int_Tables_number 1
_cell_length_a 4.262
_cell_length_b 4.262
_cell_length_c 10.512
_cell_angle_alpha 90.00
_cell_angle_beta 90.00
_cell_angle_gamma 90.00
loop_
_symmetry_equiv_pos_as_xyz
'x,y,z'
loop_
_atom_site_label
_atom_site_type_symbol
_atom_site_fract_x
_atom_site_fract_y
_atom_site_fract_z
Pt1 Pt 0.000 0.000 0.500
Al1 Al 0.000 0.500 0.368
Zn1 Zn 0.500 0.500 0.500
Ce1 Ce 0.000 0.500 0.751
Pt2 Pt 0.500 0.000 0.867
Al2 Al 0.500 0.500 0.000
Pt3 Pt 0.000 0.500 0.133
Al3 Al 0.500 0.000 0.632
Al4 Al 0.000 0.000 0.000
Ce2 Ce 0.500 0.000 0.249
# Total moment, μB/cell: 1.11
# Raw total energy, eV per atom: -5.552
# Energy relative to the elements, kJ per mole of atoms: -89.61

---

# PBE Ce2AlZn2Pt5, optimized geometry
data_Ce2AlZn2Pt5
_symmetry_space_group_name_H-M 'P 1'
_symmetry_Int_Tables_number 1
_cell_length_a 3.413
_cell_length_b 10.282
_cell_length_c 10.282
_cell_angle_alpha 90.00
_cell_angle_beta 90.00
_cell_angle_gamma 90.00
loop_
_symmetry_equiv_pos_as_xyz
'x,y,z'
loop_
_atom_site_label
_atom_site_type_symbol
_atom_site_fract_x
_atom_site_fract_y
_atom_site_fract_z
Zn1 Zn 0.000 0.628 0.872
Pt1 Pt 0.500 0.052 0.806
Al1 Al 0.000 0.500 0.500
Pt2 Pt 0.500 0.194 0.052
Ce1 Ce 0.000 0.675 0.175
Pt3 Pt 0.500 0.694 0.448
Pt4 Pt 0.500 0.448 0.306
Pt5 Pt 0.500 0.500 0.000
Al2 Al 0.000 0.000 0.000
Pt6 Pt 0.500 0.000 0.500
Pt7 Pt 0.500 0.806 0.948
Zn2 Zn 0.000 0.128 0.628
Zn3 Zn 0.000 0.372 0.128
Ce2 Ce 0.000 0.325 0.825
Zn4 Zn 0.000 0.872 0.372
Pt8 Pt 0.500 0.552 0.694
Pt9 Pt 0.500 0.306 0.552
Ce3 Ce 0.000 0.825 0.675
Pt10 Pt 0.500 0.948 0.194
Ce4 Ce 0.000 0.175 0.325
# Total moment, μB/cell: 3.42
# Raw total energy, eV per atom: -5.616
# Energy relative to the elements, kJ per mole of atoms: -75.21

---

# PBE Ce7Pu2Al2, optimized geometry
data_Ce7Pu2Al2
_symmetry_space_group_name_H-M 'P 1'
_symmetry_Int_Tables_number 1
_cell_length_a 8.183
_cell_length_b 5.891
_cell_length_c 5.891
_cell_angle_alpha 91.39
_cell_angle_beta 81.61
_cell_angle_gamma 81.61
loop_
_symmetry_equiv_pos_as_xyz
'x,y,z'
loop_
_atom_site_label
_atom_site_type_symbol
_atom_site_fract_x
_atom_site_fract_y
_atom_site_fract_z
Ce1 Ce 0.571 0.142 0.142
Pu1 Pu 0.861 0.392 0.392
Ce2 Ce 0.429 0.858 0.858
Ce3 Ce 0.793 0.939 0.533
Al1 Al 0.500 0.660 0.340
Ce4 Ce 0.207 0.061 0.467
Ce5 Ce 0.207 0.467 0.061
Pu2 Pu 0.139 0.608 0.608
Ce6 Ce 0.000 0.000 0.000
Ce7 Ce 0.793 0.533 0.939
Al2 Al 0.500 0.340 0.660
# Total moment, μB/cell: 11.90
# Raw total energy, eV per atom: -7.134
# Energy relative to the elements, kJ per mole of atoms: -6.95

---

# PBE CePuAl6, optimized geometry
data_CePuAl6
_symmetry_space_group_name_H-M 'P 1'
_symmetry_Int_Tables_number 1
_cell_length_a 4.455
_cell_length_b 6.090
_cell_length_c 5.971
_cell_angle_alpha 90.00
_cell_angle_beta 90.00
_cell_angle_gamma 90.00
loop_
_symmetry_equiv_pos_as_xyz
'x,y,z'
loop_
_atom_site_label
_atom_site_type_symbol
_atom_site_fract_x
_atom_site_fract_y
_atom_site_fract_z
Pu1 Pu 0.000 0.605 0.000
Al1 Al 0.000 0.134 0.759
Al2 Al 0.500 0.253 0.000
Al3 Al 0.000 0.755 0.500
Al4 Al 0.500 0.862 0.248
Al5 Al 0.000 0.134 0.241
Al6 Al 0.500 0.862 0.752
Ce1 Ce 0.500 0.395 0.500
# Total moment, μB/cell: 6.46
# Raw total energy, eV per atom: -5.628
# Energy relative to the lowest polymorph listed for this composition, eV/atom: 0.065
# Energy relative to the elements, kJ per mole of atoms: -27.76

---

# PBE Ce2PuAl, optimized geometry
data_Ce2PuAl
_symmetry_space_group_name_H-M 'P 1'
_symmetry_Int_Tables_number 1
_cell_length_a 4.464
_cell_length_b 4.718
_cell_length_c 4.718
_cell_angle_alpha 90.00
_cell_angle_beta 90.00
_cell_angle_gamma 90.00
loop_
_symmetry_equiv_pos_as_xyz
'x,y,z'
loop_
_atom_site_label
_atom_site_type_symbol
_atom_site_fract_x
_atom_site_fract_y
_atom_site_fract_z
Al1 Al 0.500 0.500 0.500
Pu1 Pu 0.500 0.000 0.000
Ce1 Ce 0.000 0.000 0.500
Ce2 Ce 0.000 0.500 0.000
# Total moment, μB/cell: 7.54
# Raw total energy, eV per atom: -7.641
# Energy relative to the lowest polymorph listed for this composition, eV/atom: 0.000
# Energy relative to the elements, kJ per mole of atoms: -15.03

---

# PBE CePuAl6, optimized geometry
data_CePuAl6
_symmetry_space_group_name_H-M 'P 1'
_symmetry_Int_Tables_number 1
_cell_length_a 4.683
_cell_length_b 6.251
_cell_length_c 6.251
_cell_angle_alpha 119.99
_cell_angle_beta 90.00
_cell_angle_gamma 90.00
loop_
_symmetry_equiv_pos_as_xyz
'x,y,z'
loop_
_atom_site_label
_atom_site_type_symbol
_atom_site_fract_x
_atom_site_fract_y
_atom_site_fract_z
Al1 Al 0.000 0.055 0.402
Ce1 Ce 0.000 0.083 0.917
Al2 Al 0.500 0.450 0.100
Al3 Al 0.500 0.900 0.100
Al4 Al 0.000 0.598 0.402
Al5 Al 0.000 0.598 0.945
Pu1 Pu 0.500 0.417 0.583
Al6 Al 0.500 0.900 0.550
# Total moment, μB/cell: 4.97
# Raw total energy, eV per atom: -5.692
# Energy relative to the lowest polymorph listed for this composition, eV/atom: 0.000
# Energy relative to the elements, kJ per mole of atoms: -33.99

---

# PBE Ce7Pu3Al, optimized geometry
data_Ce7Pu3Al
_symmetry_space_group_name_H-M 'P 1'
_symmetry_Int_Tables_number 1
_cell_length_a 6.255
_cell_length_b 7.122
_cell_length_c 7.122
_cell_angle_alpha 82.62
_cell_angle_beta 107.00
_cell_angle_gamma 107.00
loop_
_symmetry_equiv_pos_as_xyz
'x,y,z'
loop_
_atom_site_label
_atom_site_type_symbol
_atom_site_fract_x
_atom_site_fract_y
_atom_site_fract_z
Ce1 Ce 0.284 0.642 0.037
Al1 Al 0.500 0.500 0.500
Ce2 Ce 0.284 0.037 0.642
Ce3 Ce 0.000 0.500 0.500
Pu1 Pu 0.500 0.000 0.000
Ce4 Ce 0.716 0.963 0.358
Ce5 Ce 0.299 0.174 0.174
Pu2 Pu 0.000 0.800 0.200
Ce6 Ce 0.716 0.358 0.963
Pu3 Pu 0.000 0.200 0.800
Ce7 Ce 0.701 0.826 0.826
# Total moment, μB/cell: 11.93
# Raw total energy, eV per atom: -7.836
# Energy relative to the elements, kJ per mole of atoms: 18.26